# 1
# GGA-PBE MnAgHg2, relaxed
data_MnAgHg2
_chemical_formula_sum 'Mn1 Ag1 Hg2'
_cell_length_a 5.246
_cell_length_b 5.246
_cell_length_c 5.246
_cell_angle_alpha 131.98
_cell_angle_beta 131.98
_cell_angle_gamma 70.26
_symmetry_space_group_name_H-M 'P 1'
_symmetry_Int_Tables_number 1
_symmetry_space_group_name_Hall 'P 1'
loop_
_atom_site_label
_atom_site_type_symbol
_atom_site_fract_x
_atom_site_fract_y
_atom_site_fract_z
Ag1 Ag 0.750 0.250 0.500
Hg1 Hg 0.000 0.000 0.000
Hg2 Hg 0.250 0.750 0.500
Mn1 Mn 0.500 0.500 0.000
# - SG: No. 119
# - Calculated formation energy: 255 meV per atom


# 2
# GGA-PBE Pm2YI5, relaxed
data_Pm2YI5
_chemical_formula_sum 'Pm8 Y4 I20'
_cell_length_a 7.600
_cell_length_b 13.961
_cell_length_c 13.521
_cell_angle_alpha 90.00
_cell_angle_beta 90.00
_cell_angle_gamma 90.00
_symmetry_space_group_name_H-M 'P 1'
_symmetry_Int_Tables_number 1
_symmetry_space_group_name_Hall 'P 1'
loop_
_atom_site_label
_atom_site_type_symbol
_atom_site_fract_x
_atom_site_fract_y
_atom_site_fract_z
Pm1 Pm 0.246 0.000 0.000
Pm2 Pm 0.754 0.000 0.000
Pm3 Pm 0.000 0.100 0.601
Pm4 Pm 0.500 0.400 0.101
Pm5 Pm 0.254 0.500 0.500
Pm6 Pm 0.746 0.500 0.500
Pm7 Pm 0.500 0.600 0.899
Pm8 Pm 0.000 0.900 0.399
Y1 Y 0.000 0.303 0.216
Y2 Y 0.500 0.197 0.716
Y3 Y 0.500 0.803 0.284
Y4 Y 0.000 0.697 0.784
I1 I 0.000 0.101 0.838
I2 I 0.500 0.003 0.809
I3 I 0.000 0.127 0.360
I4 I 0.253 0.221 0.069
I5 I 0.747 0.221 0.069
I6 I 0.247 0.279 0.569
I7 I 0.753 0.279 0.569
I8 I 0.500 0.373 0.860
I9 I 0.000 0.497 0.309
I10 I 0.500 0.399 0.338
I11 I 0.500 0.601 0.662
I12 I 0.000 0.503 0.691
I13 I 0.500 0.627 0.140
I14 I 0.247 0.721 0.431
I15 I 0.753 0.721 0.431
I16 I 0.253 0.779 0.931
I17 I 0.747 0.779 0.931
I18 I 0.000 0.873 0.640
I19 I 0.500 0.997 0.191
I20 I 0.000 0.899 0.162
# - Formation energy (no corrections): -0.87 eV/atom
# - SG: No. 58


# 3
# GGA-PBE NpHgGeI6, relaxed
data_NpHgGeI6
_chemical_formula_sum 'Np1 Hg1 Ge1 I6'
_cell_length_a 7.686
_cell_length_b 7.687
_cell_length_c 9.469
_cell_angle_alpha 90.02
_cell_angle_beta 90.04
_cell_angle_gamma 60.00
_symmetry_space_group_name_H-M 'P 1'
_symmetry_Int_Tables_number 1
_symmetry_space_group_name_Hall 'P 1'
loop_
_atom_site_label
_atom_site_type_symbol
_atom_site_fract_x
_atom_site_fract_y
_atom_site_fract_z
Np1 Np 0.667 0.667 0.500
Hg1 Hg 0.999 0.001 0.000
Ge1 Ge 0.333 0.333 0.500
I1 I 0.999 0.355 0.319
I2 I 0.356 0.999 0.681
I3 I 0.645 0.355 0.681
I4 I 0.000 0.645 0.681
I5 I 0.355 0.645 0.319
I6 I 0.645 0.999 0.319
# - Formation energy (no corrections): -0.53 eV/atom
# - SG: No. 1


Number 1: total moment 4.17 μB per cell, density of states at the Fermi level 2.0 states/eV per cell, raw total energy -2.9011 eV/atom. Number 2: total moment 8.90 μB per cell, density of states at the Fermi level 22.5 states/eV per cell, raw total energy -3.8320 eV/atom. Number 3: total moment 3.00 μB per cell, density of states at the Fermi level 3.4 states/eV per cell, raw total energy -3.5518 eV/atom.